Material: AcMg12Tl6
Method: DFT, GGA-PBE
State: relaxed

Geometry as extended XYZ:
```
19
Lattice="6.600 3.811 3.335 -6.600 3.811 3.335 0.000 -7.621 3.335" Properties=species:S:1:pos:R:3 pbc="T T T"
Ac 0.000 0.000 0.000
Mg -2.568 -4.448 5.002
Mg -5.136 0.000 5.002
Mg -1.612 -0.931 3.262
Mg 1.612 -0.931 3.262
Mg 0.000 1.862 3.262
Mg 2.568 -4.448 5.002
Mg -2.568 4.448 5.002
Mg 0.000 -1.862 6.742
Mg -1.612 0.931 6.742
Mg 1.612 0.931 6.742
Mg 5.136 0.000 5.002
Mg 2.568 4.448 5.002
Tl 0.000 -3.550 4.203
Tl -3.074 1.775 4.203
Tl -3.074 -1.775 5.800
Tl 3.074 1.775 4.203
Tl 3.074 -1.775 5.800
Tl 0.000 3.550 5.800
```

## Properties
* N(E_F): 0.5200 states/eV/atom
* VASP energy: -36.9 eV/cell
* calculated volume: 26.5 Å³/atom
* DFT formation energy: 0.0268 eV per atom
* space-group type: R-3m, No. 166

Material: Ac4MgTl
Method: DFT, GGA-PBE
State: relaxed

Geometry as extended XYZ:
```
6
Lattice="5.648 0.000 0.000 0.000 5.648 0.000 0.000 0.000 8.101" Properties=species:S:1:pos:R:3 pbc="T T T"
Ac 0.000 2.824 2.018
Ac 0.000 2.824 6.083
Ac 2.824 0.000 2.018
Ac 2.824 0.000 6.083
Mg 0.000 0.000 4.051
Tl 2.824 2.824 0.000
```

## Properties
* N(E_F): 1.5421 states/eV/atom
* VASP energy: -19.8 eV/cell
* calculated volume: 43.1 Å³/atom
* DFT formation energy: 0.0996 eV per atom
* space-group type: P4/mmm, No. 123

Material: Ac6Mg23Tl
Method: DFT, GGA-PBE
State: relaxed

Geometry as extended XYZ:
```
30
Lattice="0.000 7.500 7.500 7.500 0.000 7.500 7.500 7.500 0.000" Properties=species:S:1:pos:R:3 pbc="T T T"
Ac 7.500 7.500 3.290
Ac 7.500 3.290 7.500
Ac 11.710 7.500 7.500
Ac 3.290 7.500 7.500
Ac 7.500 11.710 7.500
Ac 7.500 7.500 11.710
Mg 3.750 3.750 0.000
Mg 3.750 0.000 3.750
Mg 7.500 3.750 3.750
Mg 9.367 5.633 5.633
Mg 2.590 2.590 2.590
Mg 4.910 4.910 2.590
Mg 4.910 2.590 4.910
Mg 5.633 5.633 5.633
Mg 9.367 9.367 5.633
Mg 9.367 5.633 9.367
Mg 2.590 4.910 4.910
Mg 0.000 3.750 3.750
Mg 3.750 7.500 3.750
Mg 3.750 3.750 7.500
Mg 7.500 7.500 7.500
Mg 12.410 10.091 10.091
Mg 5.633 9.367 5.633
Mg 5.633 5.633 9.367
Mg 9.367 9.367 9.367
Mg 10.091 12.410 10.091
Mg 10.091 10.091 12.410
Mg 12.410 12.410 12.410
Mg 5.633 9.367 9.367
Tl 0.000 0.000 0.000
```

## Properties
* N(E_F): 0.8356 states/eV/atom
* VASP energy: -66.9 eV/cell
* calculated volume: 28.1 Å³/atom
* DFT formation energy: -0.1064 eV per atom
* space-group type: Fm-3m, No. 225

Material: Ac2MgTl2
Method: DFT, GGA-PBE
State: relaxed

Geometry as extended XYZ:
```
10
Lattice="6.222 -2.524 0.000 6.222 2.524 0.000 -5.800 0.000 10.618" Properties=species:S:1:pos:R:3 pbc="T T T"
Ac -0.969 0.000 1.823
Ac -1.259 0.000 6.344
Ac 7.904 0.000 4.274
Ac 7.614 0.000 8.795
Mg 2.703 0.000 1.462
Mg 3.942 0.000 9.156
Tl -0.952 0.000 9.845
Tl 2.340 0.000 6.608
Tl 4.305 0.000 4.010
Tl 7.597 0.000 0.773
```

## Properties
* N(E_F): 0.7820 states/eV/atom
* VASP energy: -32.3 eV/cell
* calculated volume: 33.4 Å³/atom
* DFT formation energy: -0.3196 eV per atom
* space-group type: C2/m, No. 12

Material: Ac2Mg3Tl2
Method: DFT, GGA-PBE
State: relaxed

Geometry as extended XYZ:
```
7
Lattice="5.958 -2.509 0.000 5.958 2.509 0.000 -2.705 0.000 7.070" Properties=species:S:1:pos:R:3 pbc="T T T"
Ac 1.043 0.000 1.914
Ac 8.168 0.000 5.156
Mg 4.543 0.000 0.524
Mg 4.605 0.000 3.535
Mg 4.668 0.000 6.547
Tl -0.220 0.000 5.260
Tl 9.430 0.000 1.810
```

## Properties
* N(E_F): 0.8617 states/eV/atom
* VASP energy: -19.4 eV/cell
* calculated volume: 30.2 Å³/atom
* DFT formation energy: -0.2367 eV per atom
* space-group type: C2/m, No. 12

Material: Ac8MgTl2
Method: DFT, GGA-PBE
State: relaxed

Geometry as extended XYZ:
```
11
Lattice="10.118 -2.887 0.000 10.118 2.887 0.000 -1.455 0.000 7.596" Properties=species:S:1:pos:R:3 pbc="T T T"
Ac 0.196 0.000 1.917
Ac 2.725 0.000 6.032
Ac 6.040 0.000 4.168
Ac 8.217 0.000 0.343
Ac 10.563 0.000 7.252
Ac 12.740 0.000 3.428
Ac 16.055 0.000 1.563
Ac 18.585 0.000 5.678
Mg 9.390 0.000 3.798
Tl 3.672 0.000 1.771
Tl 15.108 0.000 5.824
```

## Properties
* N(E_F): 1.0153 states/eV/atom
* VASP energy: -40.1 eV/cell
* calculated volume: 40.3 Å³/atom
* DFT formation energy: -0.0849 eV per atom
* space-group type: C2/m, No. 12

Material: AcMgTl3
Method: DFT, GGA-PBE
State: relaxed

Geometry as extended XYZ:
```
10
Lattice="4.906 0.000 0.000 0.000 7.591 0.000 0.000 0.000 8.124" Properties=species:S:1:pos:R:3 pbc="T T T"
Ac 1.226 1.898 1.521
Ac 3.679 5.693 6.604
Mg 1.226 5.693 3.716
Mg 3.679 1.898 4.408
Tl 1.226 0.361 5.637
Tl 1.226 3.435 5.637
Tl 1.226 5.693 0.794
Tl 3.679 1.898 7.331
Tl 3.679 4.156 2.487
Tl 3.679 7.230 2.487
```

## Properties
* N(E_F): 0.2216 states/eV/atom
* VASP energy: -27.5 eV/cell
* calculated volume: 30.3 Å³/atom
* DFT formation energy: -0.1894 eV per atom
* space-group type: Pmmn, No. 59

Material: Ac4Mg3Tl16
Method: DFT, GGA-PBE
State: relaxed

Geometry as extended XYZ:
```
23
Lattice="7.322 0.000 0.000 0.000 7.322 0.000 0.000 0.000 13.032" Properties=species:S:1:pos:R:3 pbc="T T T"
Ac 0.000 3.661 2.454
Ac 0.000 3.661 10.578
Ac 3.661 0.000 2.454
Ac 3.661 0.000 10.578
Mg 0.000 0.000 0.000
Mg 0.000 3.661 6.516
Mg 3.661 0.000 6.516
Tl 0.000 0.000 2.914
Tl 0.000 0.000 10.118
Tl 1.872 1.872 4.876
Tl 1.872 1.872 8.156
Tl 1.872 5.450 4.876
Tl 1.872 5.450 8.156
Tl 2.056 2.056 0.000
Tl 2.056 5.266 0.000
Tl 3.661 3.661 2.528
Tl 3.661 3.661 10.504
Tl 5.266 2.056 0.000
Tl 5.266 5.266 0.000
Tl 5.450 1.872 4.876
Tl 5.450 1.872 8.156
Tl 5.450 5.450 4.876
Tl 5.450 5.450 8.156
```

## Properties
* N(E_F): 0.5269 states/eV/atom
* VASP energy: -63.4 eV/cell
* calculated volume: 30.4 Å³/atom
* DFT formation energy: -0.1882 eV per atom
* space-group type: P4/mmm, No. 123

Material: Ac4MgTl12
Method: DFT, GGA-PBE
State: relaxed

Geometry as extended XYZ:
```
17
Lattice="-5.073 5.073 5.073 5.073 -5.073 5.073 5.073 5.073 -5.073" Properties=species:S:1:pos:R:3 pbc="T T T"
Ac 2.537 2.537 -2.537
Ac 2.537 -2.537 2.537
Ac -2.537 2.537 2.537
Ac 2.537 2.537 2.537
Mg 0.000 0.000 0.000
Tl 2.967 0.000 0.000
Tl 7.180 0.000 0.000
Tl 5.073 2.537 0.000
Tl 5.073 0.000 2.537
Tl 0.000 2.967 0.000
Tl 0.000 0.000 2.967
Tl 2.537 5.073 0.000
Tl 2.537 0.000 5.073
Tl 0.000 7.180 0.000
Tl 0.000 0.000 7.180
Tl 0.000 5.073 2.537
Tl 0.000 2.537 5.073
```

## Properties
* N(E_F): 0.3656 states/eV/atom
* VASP energy: -51.1 eV/cell
* calculated volume: 30.7 Å³/atom
* DFT formation energy: -0.2755 eV per atom
* space-group type: Im-3m, No. 229

Material: Ac2MgTl
Method: DFT, GGA-PBE
State: relaxed

Geometry as extended XYZ:
```
4
Lattice="0.000 4.121 4.121 4.121 0.000 4.121 4.121 4.121 0.000" Properties=species:S:1:pos:R:3 pbc="T T T"
Ac 2.061 2.061 2.061
Ac 6.182 6.182 6.182
Mg 0.000 0.000 0.000
Tl 4.121 4.121 4.121
```

## Properties
* N(E_F): 1.1765 states/eV/atom
* VASP energy: -13.1 eV/cell
* calculated volume: 35.0 Å³/atom
* DFT formation energy: -0.2190 eV per atom
* space-group type: Fm-3m, No. 225

Material: Ac8Mg2Tl
Method: DFT, GGA-PBE
State: relaxed

Geometry as extended XYZ:
```
11
Lattice="9.993 -2.895 0.000 9.993 2.895 0.000 -2.530 0.000 7.648" Properties=species:S:1:pos:R:3 pbc="T T T"
Ac -0.223 0.000 2.036
Ac 1.913 0.000 6.051
Ac 5.306 0.000 4.175
Ac 8.013 0.000 0.336
Ac 9.443 0.000 7.312
Ac 12.149 0.000 3.474
Ac 15.542 0.000 1.597
Ac 17.679 0.000 5.612
Mg 3.187 0.000 1.545
Mg 14.269 0.000 6.103
Tl 8.728 0.000 3.824
```

## Properties
* N(E_F): 1.2510 states/eV/atom
* VASP energy: -38.7 eV/cell
* calculated volume: 40.2 Å³/atom
* DFT formation energy: -0.0237 eV per atom
* space-group type: C2/m, No. 12

Material: AcMg2Tl
Method: DFT, GGA-PBE
State: relaxed

Geometry as extended XYZ:
```
4
Lattice="0.000 3.854 3.854 3.854 0.000 3.854 3.854 3.854 0.000" Properties=species:S:1:pos:R:3 pbc="T T T"
Ac 0.000 0.000 0.000
Mg 1.927 1.927 1.927
Mg 5.782 5.782 5.782
Tl 3.854 3.854 3.854
```

## Properties
* N(E_F): 0.3967 states/eV/atom
* VASP energy: -9.9 eV/cell
* calculated volume: 28.6 Å³/atom
* DFT formation energy: -0.0591 eV per atom
* space-group type: Fm-3m, No. 225

Material: AcMg4Tl4
Method: DFT, GGA-PBE
State: relaxed

Geometry as extended XYZ:
```
18
Lattice="7.080 0.000 0.000 0.000 7.080 0.000 0.000 0.000 9.943" Properties=species:S:1:pos:R:3 pbc="T T T"
Ac 1.770 5.310 2.486
Ac 5.310 1.770 7.457
Mg 0.185 1.770 1.608
Mg 1.770 0.185 6.580
Mg 1.770 3.355 6.580
Mg 3.355 1.770 1.608
Mg 3.725 5.310 8.334
Mg 5.310 3.725 3.363
Mg 5.310 6.895 3.363
Mg 6.895 5.310 8.334
Tl 0.198 1.770 4.526
Tl 1.770 0.198 9.497
Tl 1.770 3.342 9.497
Tl 3.342 1.770 4.526
Tl 3.738 5.310 5.417
Tl 5.310 3.738 0.445
Tl 5.310 6.882 0.445
Tl 6.882 5.310 5.417
```

## Properties
* N(E_F): 0.4020 states/eV/atom
* VASP energy: -41.5 eV/cell
* calculated volume: 27.7 Å³/atom
* DFT formation energy: -0.0890 eV per atom
* space-group type: P4_2/nmc, No. 137

Material: Ac6MgTl3
Method: DFT, GGA-PBE
State: relaxed

Geometry as extended XYZ:
```
20
Lattice="5.925 -8.182 0.000 5.925 8.182 0.000 0.000 0.000 8.057" Properties=species:S:1:pos:R:3 pbc="T T T"
Ac 5.925 7.405 4.029
Ac 3.780 3.080 7.736
Ac 3.212 0.743 2.630
Ac 5.925 3.374 3.866
Ac 3.212 -0.743 6.659
Ac 8.069 3.080 7.736
Ac 3.780 -3.080 3.707
Ac 8.637 0.743 2.630
Ac 5.925 -3.374 7.894
Ac 8.637 -0.743 6.659
Ac 8.069 -3.080 3.707
Ac 5.925 -7.405 0.000
Mg 5.925 5.594 6.803
Mg 5.925 -5.594 2.774
Tl 1.629 2.217 5.348
Tl 1.629 -2.217 1.320
Tl 5.925 0.278 0.573
Tl 5.925 -0.278 4.602
Tl 10.220 2.217 5.348
Tl 10.220 -2.217 1.320
```

## Properties
* N(E_F): 1.2116 states/eV/atom
* VASP energy: -69.2 eV/cell
* calculated volume: 39.1 Å³/atom
* DFT formation energy: -0.1244 eV per atom
* space-group type: Cmc2_1, No. 36

Material: AcMgTl4
Method: DFT, GGA-PBE
State: relaxed

Geometry as extended XYZ:
```
6
Lattice="4.867 0.000 0.000 0.000 4.867 0.000 0.000 0.000 8.499" Properties=species:S:1:pos:R:3 pbc="T T T"
Ac 0.000 0.000 0.000
Mg 2.433 2.433 4.250
Tl 0.000 2.433 2.489
Tl 0.000 2.433 6.010
Tl 2.433 0.000 2.489
Tl 2.433 0.000 6.010
```

## Properties
* N(E_F): 0.5423 states/eV/atom
* VASP energy: -15.1 eV/cell
* calculated volume: 33.6 Å³/atom
* DFT formation energy: 0.0126 eV per atom
* space-group type: P4/mmm, No. 123

Material: Ac3Mg9Tl2
Method: DFT, GGA-PBE
State: relaxed

Geometry as extended XYZ:
```
14
Lattice="-2.540 5.543 7.160 2.540 -5.543 7.160 2.540 5.543 -7.160" Properties=species:S:1:pos:R:3 pbc="T T T"
Ac 0.000 0.000 0.000
Ac 0.000 0.000 4.309
Ac 0.000 0.000 10.011
Mg 2.540 -1.507 2.261
Mg 2.540 -2.431 5.228
Mg 2.540 1.507 2.261
Mg 0.000 3.111 1.932
Mg 0.000 5.543 0.000
Mg 2.540 2.431 5.228
Mg 0.000 4.036 4.898
Mg 0.000 7.974 1.932
Mg 0.000 7.050 4.898
Tl 2.540 3.411 0.000
Tl 0.000 2.132 7.160
```

## Properties
* N(E_F): 0.8852 states/eV/atom
* VASP energy: -32.9 eV/cell
* calculated volume: 28.8 Å³/atom
* DFT formation energy: -0.1091 eV per atom
* space-group type: Immm, No. 71

Material: Ac5Mg4Tl4
Method: DFT, GGA-PBE
State: relaxed

Geometry as extended XYZ:
```
13
Lattice="-6.593 6.593 2.430 6.593 -6.593 2.430 6.593 6.593 -2.430" Properties=species:S:1:pos:R:3 pbc="T T T"
Ac 0.000 0.000 0.000
Ac 4.841 3.868 0.000
Ac 2.725 -1.751 2.430
Ac 3.868 8.344 0.000
Ac 1.751 2.725 2.430
Mg 7.580 1.317 0.000
Mg 1.317 5.605 0.000
Mg 5.275 0.988 2.430
Mg -0.988 5.275 2.430
Tl 3.414 0.718 0.000
Tl 5.874 -3.179 2.430
Tl 0.718 9.771 0.000
Tl 3.179 5.874 2.430
```

## Properties
* N(E_F): 0.9225 states/eV/atom
* VASP energy: -39.8 eV/cell
* calculated volume: 32.5 Å³/atom
* DFT formation energy: -0.2626 eV per atom
* space-group type: I4/m, No. 87

Material: Ac2Mg16Tl
Method: DFT, GGA-PBE
State: relaxed

Geometry as extended XYZ:
```
19
Lattice="5.237 3.023 5.114 -5.237 3.023 5.114 0.000 -6.047 5.114" Properties=species:S:1:pos:R:3 pbc="T T T"
Ac 0.000 0.000 0.000
Ac 0.000 0.000 5.144
Mg 0.000 -2.934 2.758
Mg -2.541 1.467 2.758
Mg -2.595 -1.498 7.677
Mg 0.000 -3.065 7.490
Mg -2.654 1.533 7.490
Mg -1.572 -2.721 10.233
Mg -3.142 -0.001 10.233
Mg 2.541 1.467 2.758
Mg 0.000 0.000 8.805
Mg 2.595 -1.498 7.677
Mg 0.000 2.997 7.677
Mg 1.572 -2.721 10.233
Mg -1.571 2.722 10.233
Mg 2.654 1.533 7.490
Mg 3.142 -0.001 10.233
Mg 1.571 2.722 10.233
Tl 0.000 0.000 11.791
```

## Properties
* N(E_F): 0.3527 states/eV/atom
* VASP energy: -38.0 eV/cell
* calculated volume: 25.6 Å³/atom
* DFT formation energy: -0.0982 eV per atom
* space-group type: R3m, No. 160

Material: AcMg6Tl2
Method: DFT, GGA-PBE
State: relaxed

Geometry as extended XYZ:
```
9
Lattice="4.725 0.000 0.000 0.000 4.725 0.000 0.000 0.000 10.549" Properties=species:S:1:pos:R:3 pbc="T T T"
Ac 0.000 0.000 0.000
Mg 0.000 0.000 5.274
Mg 0.000 2.362 3.190
Mg 0.000 2.362 7.358
Mg 2.362 0.000 3.190
Mg 2.362 0.000 7.358
Mg 2.362 2.362 5.274
Tl 2.362 2.362 1.480
Tl 2.362 2.362 9.069
```

## Properties
* N(E_F): 0.2936 states/eV/atom
* VASP energy: -19.6 eV/cell
* calculated volume: 26.2 Å³/atom
* DFT formation energy: -0.1324 eV per atom
* space-group type: P4/mmm, No. 123

Material: Ac3MgTl4
Method: DFT, GGA-PBE
State: relaxed

Geometry as extended XYZ:
```
8
Lattice="-1.979 3.683 9.692 1.979 -3.683 9.692 1.979 3.683 -9.692" Properties=species:S:1:pos:R:3 pbc="T T T"
Ac 0.000 0.000 0.000
Ac 1.979 0.000 5.259
Ac 0.000 3.683 4.433
Mg 0.000 0.000 9.692
Tl 1.979 1.767 -2.305
Tl 1.979 1.767 2.305
Tl 0.000 1.916 7.388
Tl 0.000 1.916 11.997
```

## Properties
* N(E_F): 0.9930 states/eV/atom
* VASP energy: -24.9 eV/cell
* calculated volume: 35.3 Å³/atom
* DFT formation energy: -0.1853 eV per atom
* space-group type: Immm, No. 71